Entry from Alexandria via LeMat-Bulk: an optimized crystal structure of SiTePtS2 (GGA-PBE).

```
SiTePtS2
1.0
4.827 0.000 0.000
0.000 4.658 0.000
0.000 0.000 4.827
S Te Si Pt
2 1 1 1
Direct
0.000 0.000 0.500 S
0.500 0.000 0.000 S
0.500 0.500 0.500 Te
0.000 0.500 0.000 Si
0.000 0.000 0.000 Pt
```

Computed properties:
- M_tot (μB/atom) = 0.000
- formation energy from raw total energies (kJ per mole of atoms) = 44.4
- N(E_F) (states/eV per atom) = 0.7791

***

Entry from Alexandria via LeMat-Bulk: an optimized crystal structure of BaTcRh2 (GGA-PBE).

```
BaTcRh2
1.0
-0.455 0.187 -4.817
-3.661 -3.151 -0.340
-0.049 3.899 2.871
Ba Rh Tc
1 2 1
Direct
0.750 0.250 0.500 Ba
0.000 0.000 0.000 Rh
0.250 0.750 0.500 Rh
0.500 0.500 0.000 Tc
```

Computed properties:
- M_tot (μB/atom) = 0.095
- excess energy over the best structure of this formula in the dataset (meV/atom) = 694
- N(E_F) (states/eV per atom) = 1.4789
- E_form (eV/atom) = 0.859

***

Entry from Alexandria via LeMat-Bulk: an optimized crystal structure of USnAs2Ru5 (GGA-PBE).

```
USnAs2Ru5
1.0
-1.248 3.730 1.432
-3.180 -0.019 -2.722
-4.935 -3.876 5.793
U Sn As Ru
1 1 2 5
Direct
0.000 0.000 0.000 U
0.000 0.000 0.500 Sn
0.500 0.500 0.144 As
0.500 0.500 0.856 As
0.000 0.500 0.282 Ru
0.500 0.000 0.282 Ru
0.000 0.500 0.718 Ru
0.500 0.000 0.718 Ru
0.500 0.500 0.500 Ru
```

Computed properties:
- M_tot (μB/atom) = 0.005
- N(E_F) (states/eV per atom) = 1.2722
- E_form (eV/atom) = -0.172

***

Entry from Alexandria via LeMat-Bulk: an optimized crystal structure of TcB2Ru (GGA-PBE).

```
TcB2Ru
1.0
-0.048 -1.975 -2.157
0.619 -2.801 0.568
-5.293 -2.594 0.510
Tc B Ru
1 2 1
Direct
0.668 0.668 0.996 Tc
0.085 0.085 0.744 B
0.248 0.248 0.256 B
0.498 0.498 0.505 Ru
```

Computed properties:
- M_tot (μB/atom) = 0.001
- excess energy over the best structure of this formula in the dataset (meV/atom) = 0
- N(E_F) (states/eV per atom) = 1.1419
- E_form (eV/atom) = -0.131

***

Q: N(E_F) of number 3 (USnAs2Ru5)?
A: 1.2722 states/eV per atom